# ScTl3I

A relaxed ScTl3I crystal (PBE, the Alexandria database).

Geometry as POSCAR:
```
ScTl3I
1.0
-3.112 -4.866 2.373
0.514 -2.990 -5.457
5.389 -2.524 1.891
I Sc Tl
1 1 3
direct
0.000 0.000 0.000 I
0.500 0.500 0.500 Sc
0.000 0.500 0.000 Tl
0.000 0.000 0.500 Tl
0.500 0.000 0.000 Tl
```

excess energy over the best structure of this formula in the dataset = 9.82 kcal/mol of atoms
magnetic moment = 1.4 μB/cell
SG = Pm-3m, No. 221


# Tm2ScI

A relaxed Tm2ScI crystal (PBE, the Alexandria database).

Geometry as POSCAR:
```
Tm2ScI
1.0
-1.257 2.178 -2.485
-2.856 -0.915 -1.871
-7.959 5.346 6.195
I Sc Tm
1 1 2
direct
0.500 0.500 0.500 I
0.000 0.000 0.000 Sc
0.093 0.093 0.722 Tm
0.907 0.907 0.278 Tm
```

magnetic moment = 1.4 μB/cell
E = -4.1090 eV/atom
SG = R-3m, No. 166


# TmScI

A relaxed TmScI crystal (PBE, the Alexandria database).

Geometry as POSCAR:
```
TmScI
1.0
-1.937 -0.479 3.133
0.368 -2.808 -2.404
5.964 -2.099 3.366
I Sc Tm
1 1 1
direct
0.667 0.333 0.342 I
0.333 0.667 0.659 Sc
0.000 0.000 0.999 Tm
```

magnetic moment = 0.0 μB/cell
E = -4.5361 eV/atom
SG = P3m1, No. 156


# ScUI2

A relaxed ScUI2 crystal (PBE, the Alexandria database).

Geometry as POSCAR:
```
ScUI2
1.0
3.639 0.000 0.000
1.820 3.152 0.000
1.820 1.051 10.496
I Sc U
2 1 1
direct
0.102 0.102 0.694 I
0.898 0.898 0.306 I
0.500 0.500 0.500 Sc
0.000 0.000 0.000 U
```

magnetic moment = 4.0 μB/cell
E = -5.2995 eV/atom
SG = R-3m, No. 166


# Sc2VI

A relaxed Sc2VI crystal (PBE, the Alexandria database).

Geometry as POSCAR:
```
Sc2VI
1.0
0.036 -0.400 5.003
-4.069 1.273 2.648
-2.739 -3.551 2.254
I Sc V
1 2 1
direct
0.500 0.500 0.500 I
0.250 0.250 0.250 Sc
0.750 0.750 0.750 Sc
0.000 0.000 0.000 V
```

excess energy over the best structure of this formula in the dataset = 0.00 kcal/mol of atoms
magnetic moment = 3.2 μB/cell
SG = Fm-3m, No. 225


# ScVI2

A relaxed ScVI2 crystal (PBE, the Alexandria database).

Geometry as POSCAR:
```
ScVI2
1.0
-2.693 3.561 2.432
-0.784 4.526 -2.180
-4.640 1.253 -1.658
I Sc V
2 1 1
direct
0.250 0.250 0.250 I
0.750 0.750 0.750 I
0.000 0.000 0.000 Sc
0.500 0.500 0.500 V
```

excess energy over the best structure of this formula in the dataset = 0.00 kcal/mol of atoms
magnetic moment = 2.9 μB/cell
SG = Fm-3m, No. 225


# ScVI2

A relaxed ScVI2 crystal (PBE, the Alexandria database).

Geometry as POSCAR:
```
ScVI2
1.0
5.237 0.000 0.000
0.000 5.237 0.000
2.619 2.619 8.697
I Sc V
4 2 2
direct
0.633 0.125 0.250 I
0.117 0.625 0.250 I
0.375 0.367 0.750 I
0.875 0.883 0.750 I
0.500 0.500 0.000 Sc
0.250 0.750 0.500 Sc
0.000 0.000 0.000 V
0.750 0.250 0.500 V
```

excess energy over the best structure of this formula in the dataset = 0.45 kcal/mol of atoms
magnetic moment = 8.3 μB/cell
SG = I-42d, No. 122


# Sc3VI

A relaxed Sc3VI crystal (PBE, the Alexandria database).

Geometry as POSCAR:
```
Sc3VI
1.0
5.238 0.000 0.000
0.000 5.238 0.000
0.000 0.000 5.238
I Sc V
1 3 1
direct
0.000 0.000 0.000 I
0.000 0.500 0.000 Sc
0.000 0.000 0.500 Sc
0.500 0.000 0.000 Sc
0.500 0.500 0.500 V
```

excess energy over the best structure of this formula in the dataset = 6.93 kcal/mol of atoms
magnetic moment = 2.9 μB/cell
SG = Pm-3m, No. 221


# Sc3VI

A relaxed Sc3VI crystal (PBE, the Alexandria database).

Geometry as POSCAR:
```
Sc3VI
1.0
-0.451 5.035 0.037
-4.331 -0.368 -2.582
-2.569 -0.262 4.346
I Sc V
1 3 1
direct
0.500 0.500 0.500 I
0.000 0.500 0.000 Sc
0.000 0.000 0.500 Sc
0.500 0.000 0.000 Sc
0.000 0.000 0.000 V
```

excess energy over the best structure of this formula in the dataset = 0.00 kcal/mol of atoms
magnetic moment = 0.0 μB/cell
SG = Pm-3m, No. 221


# ScV3I

A relaxed ScV3I crystal (PBE, the Alexandria database).

Geometry as POSCAR:
```
ScV3I
1.0
4.668 0.000 0.000
0.000 4.668 0.000
0.000 0.000 4.668
I Sc V
1 1 3
direct
0.500 0.500 0.500 I
0.000 0.000 0.000 Sc
0.000 0.500 0.000 V
0.000 0.000 0.500 V
0.500 0.000 0.000 V
```

excess energy over the best structure of this formula in the dataset = 11.25 kcal/mol of atoms
magnetic moment = 1.7 μB/cell
SG = Pm-3m, No. 221


# Sc2VI

A relaxed Sc2VI crystal (PBE, the Alexandria database).

Geometry as POSCAR:
```
Sc2VI
1.0
-5.176 8.061 2.888
-2.041 9.390 2.787
-3.908 9.210 -0.057
I Sc V
1 2 1
direct
0.500 0.500 0.500 I
0.913 0.913 0.913 Sc
0.087 0.087 0.087 Sc
0.000 0.000 0.000 V
```

excess energy over the best structure of this formula in the dataset = 3.62 kcal/mol of atoms
magnetic moment = 2.5 μB/cell
SG = R-3m, No. 166


# ScV3I

A relaxed ScV3I crystal (PBE, the Alexandria database).

Geometry as POSCAR:
```
ScV3I
1.0
4.775 0.000 0.000
0.000 4.775 0.000
0.000 0.000 4.775
I Sc V
1 1 3
direct
0.000 0.000 0.000 I
0.500 0.500 0.500 Sc
0.000 0.500 0.000 V
0.000 0.000 0.500 V
0.500 0.000 0.000 V
```

excess energy over the best structure of this formula in the dataset = 0.00 kcal/mol of atoms
magnetic moment = 1.5 μB/cell
SG = Pm-3m, No. 221